[1]
This record from Alexandria via LeMat-Bulk describes an optimized crystal structure of CeY2Br. The functional is GGA-PBE.

## Properties
Raw formation energy   -0.506 eV per atom
Space group   R-3m

Geometry as extended XYZ:
```
4
Lattice="3.639 0.000 0.000 1.819 3.151 0.000 1.819 1.050 10.175" Properties=species:S:1:pos:R:3 pbc="T T T"
Y 1.819 1.050 2.322
Ce 3.639 2.101 5.087
Br 0.000 0.000 0.000
Y 5.458 3.151 7.853
```

=====

[2]
This record from Alexandria via LeMat-Bulk describes an optimized crystal structure of CeYBr5. The functional is GGA-PBE.

## Properties
Raw formation energy   -1.776 eV per atom
Space group   P2_1/m

Geometry as extended XYZ:
```
14
Lattice="-3.231 1.741 1.756 1.036 -4.855 6.722 8.063 9.867 5.052" Properties=species:S:1:pos:R:3 pbc="T T T"
Br 1.809 4.522 5.915
Br 0.638 0.032 3.499
Ce 6.956 4.370 10.825
Br 1.817 3.239 2.489
Br 4.051 3.515 11.041
Br 4.059 2.231 7.615
Br 0.642 -3.006 6.520
Y 2.419 1.822 5.003
Y 3.449 4.931 8.527
Br 0.578 1.090 7.055
Ce -1.088 2.383 2.705
Br 5.290 5.664 6.475
Br 5.230 6.722 10.031
Br 5.226 9.759 7.010
```

=====

[3]
This record from Alexandria via LeMat-Bulk describes an optimized crystal structure of CeYBr3. The functional is GGA-PBE.

## Properties
Raw formation energy   -1.441 eV per atom
Space group   C2/m

Geometry as extended XYZ:
```
10
Lattice="-1.238 -3.257 1.912 6.467 -1.031 6.560 -3.666 4.093 8.726" Properties=species:S:1:pos:R:3 pbc="T T T"
Br 3.371 0.202 6.656
Br 0.620 -2.412 4.553
Y -2.806 2.335 10.418
Br 2.983 0.134 10.418
Y 4.370 -2.529 6.781
Ce -2.703 2.443 6.540
Br -1.808 -0.397 10.543
Br 0.944 2.217 12.645
Ce 4.267 -2.638 10.658
Br -1.419 -0.329 6.780
```

=====

[4]
This record from Alexandria via LeMat-Bulk describes an optimized crystal structure of CeYBr2. The functional is GGA-PBE.

## Properties
Raw formation energy   -1.018 eV per atom
Space group   R-3m

Geometry as extended XYZ:
```
4
Lattice="3.734 0.000 0.000 1.867 3.233 0.000 1.867 1.078 10.081" Properties=species:S:1:pos:R:3 pbc="T T T"
Ce 3.734 2.156 5.041
Br 5.600 3.233 2.869
Y 0.000 0.000 0.000
Br 1.867 1.078 7.212
```

=====

[5]
This record from Alexandria via LeMat-Bulk describes an optimized crystal structure of CeY2Br6. The functional is GGA-PBE.

## Properties
Raw formation energy   -1.554 eV per atom
Space group   R3

Geometry as extended XYZ:
```
9
Lattice="7.115 0.000 0.000 3.558 6.162 0.000 3.558 2.054 6.827" Properties=species:S:1:pos:R:3 pbc="T T T"
Br 5.902 6.160 4.690
Y 7.115 4.108 3.048
Y 10.673 6.162 6.437
Br 4.804 4.269 1.352
Ce 7.115 4.108 6.544
Br 9.499 4.133 4.690
Br 8.131 2.026 1.352
Br 8.411 6.029 1.352
Br 5.945 2.031 4.690
```

=====

[6]
This record from Alexandria via LeMat-Bulk describes an optimized crystal structure of Ce7ZnBr12. The functional is GGA-PBE.

## Properties
Raw formation energy   -1.450 eV per atom
Space group   R-3

Geometry as extended XYZ:
```
20
Lattice="-8.680 -3.867 1.050 6.381 -5.499 4.522 0.010 8.669 4.031" Properties=species:S:1:pos:R:3 pbc="T T T"
Br -1.451 4.756 3.357
Br -0.360 -2.808 3.231
Ce -1.145 -0.348 4.802
Br -1.929 2.111 6.372
Br 3.797 -2.176 4.105
Br -0.838 -5.453 6.246
Ce -0.120 0.905 8.454
Br -4.607 -3.269 2.023
Ce -1.498 -2.908 7.849
Br 0.878 -1.395 6.787
Br 2.318 2.572 7.580
Br -3.446 -2.085 5.706
Zn 0.000 0.000 0.000
Ce -2.169 -1.602 1.150
Ce -4.050 0.277 7.471
Br -6.086 1.479 5.498
Br 1.157 1.388 3.897
Br -3.168 0.698 2.816
Ce 1.760 -0.974 2.132
Ce -0.792 2.211 1.754
```

=====

[7]
This record from Alexandria via LeMat-Bulk describes an optimized crystal structure of CeZnBr. The functional is GGA-PBE.

## Properties
Raw formation energy   -0.923 eV per atom
Energy relative to the lowest polymorph listed for this composition   0.00 eV per formula unit
Space group   C2/m

Geometry as extended XYZ:
```
6
Lattice="-2.417 -3.084 -1.768 4.016 -0.874 1.261 -3.501 -0.454 10.732" Properties=species:S:1:pos:R:3 pbc="T T T"
Ce -1.482 -3.243 2.419
Zn -1.864 -1.384 4.925
Zn -0.038 -3.028 5.299
Ce -0.420 -1.169 7.806
Br -3.180 -2.365 8.439
Br 1.278 -2.047 1.786
```

=====

[8]
This record from Alexandria via LeMat-Bulk describes an optimized crystal structure of CeZnBr. The functional is GGA-PBE.

## Properties
Raw formation energy   -0.681 eV per atom
Energy relative to the lowest polymorph listed for this composition   0.72 eV per formula unit
Space group   Cmcm

Geometry as extended XYZ:
```
6
Lattice="-1.590 0.516 -4.921 2.545 -2.620 -1.097 -5.444 -6.870 3.783" Properties=species:S:1:pos:R:3 pbc="T T T"
Zn -0.690 -0.961 -2.622
Ce 1.170 -2.748 -0.666
Zn -3.799 -8.014 0.387
Br -2.914 -5.976 -2.429
Ce -5.659 -6.227 -1.569
Br -1.576 -2.999 0.195
```

=====

[9]
This record from Alexandria via LeMat-Bulk describes an optimized crystal structure of CeZnBr6. The functional is GGA-PBE.

## Properties
Raw formation energy   -1.208 eV per atom
Energy relative to the lowest polymorph listed for this composition   0.15 eV per formula unit
Space group   R-3

Geometry as extended XYZ:
```
8
Lattice="6.888 0.010 0.011 3.437 5.968 0.014 3.435 1.984 6.279" Properties=species:S:1:pos:R:3 pbc="T T T"
Br 8.149 2.070 4.774
Br 7.897 6.034 4.779
Br 5.610 5.892 1.531
Br 9.173 4.129 1.535
Br 4.586 3.833 4.770
Br 5.863 1.928 1.525
Ce 6.880 3.981 3.152
Zn 0.000 0.000 0.000
```

=====

[10]
This record from Alexandria via LeMat-Bulk describes an optimized crystal structure of CeZn2Br8. The functional is GGA-PBE.

## Properties
Raw formation energy   -1.126 eV per atom
Space group   C2/m

Geometry as extended XYZ:
```
11
Lattice="6.624 0.093 0.206 0.175 7.869 2.599 0.096 1.114 8.214" Properties=species:S:1:pos:R:3 pbc="T T T"
Br 5.150 5.688 3.015
Br 1.954 3.153 3.822
Ce 0.000 0.000 0.000
Br 1.925 7.518 9.073
Br 1.790 7.224 4.816
Br 1.745 3.389 8.004
Br 5.105 1.853 6.203
Zn 4.440 7.361 8.920
Br 4.970 1.559 1.946
Zn 2.455 1.716 2.099
Br 4.941 5.924 7.197
```

=====

[11]
This record from Alexandria via LeMat-Bulk describes an optimized crystal structure of CeZnBr6. The functional is GGA-PBE.

## Properties
Raw formation energy   -1.227 eV per atom
Energy relative to the lowest polymorph listed for this composition   0.00 eV per formula unit
Space group   C2/m

Geometry as extended XYZ:
```
8
Lattice="-5.652 5.508 0.121 1.152 -4.361 -5.084 -1.853 -4.843 5.215" Properties=species:S:1:pos:R:3 pbc="T T T"
Br -0.820 -6.708 -0.620
Br -2.477 0.043 0.820
Zn 0.000 0.000 0.000
Br -3.876 -3.739 -0.569
Br -0.847 -0.805 -2.529
Br -5.533 3.012 0.871
Ce -2.826 2.754 0.060
Br -3.653 1.952 -2.435
```

=====

[12]
This record from Alexandria via LeMat-Bulk describes an optimized crystal structure of BrCl2. The functional is GGA-PBE.

## Properties
Raw formation energy   0.060 eV per atom
Energy relative to the lowest polymorph listed for this composition   0.03 eV per formula unit
Space group   Cmcm

Geometry as extended XYZ:
```
6
Lattice="12.643 -0.006 0.000 -11.825 4.472 0.000 0.000 0.000 4.557" Properties=species:S:1:pos:R:3 pbc="T T T"
Cl 5.559 1.291 2.279
Cl -2.573 2.779 0.000
Br -1.907 2.657 2.279
Cl 6.133 1.185 0.000
Br -10.869 4.297 0.000
Cl -10.203 4.175 2.279
```

=====

- Number 2 is which compound?
  CeYBr5

=====

- The lowest raw formation energy belongs to which entry?
  CeYBr5

=====

- The lowest raw formation energy belongs to which entry?
  CeYBr5

=====

- Look up the raw formation energy of the second one.
  -1.776 eV per atom